Record 1
DFT (PBE-GGA) results for an optimized crystal structure of LiScCuTe3.

Summary:
The calculation puts the theoretical density at 5.383 g/cm3. The relative energy among the computed polymorphs comes out at 0 meV/atom. The total magnetic moment comes out at 0.00 μB per formula unit.

a b c (Å): 8.3997 3.9404 9.7384
angles (deg): 90.00 107.51 90.00
Space group P2_1/m (No. 11)
One atom of each set of equivalent atoms:
Li 0.1964 0.2500 0.2259
Sc 0.3240 0.7500 0.8367
Cu 0.0797 0.2500 0.5887
Te 0.0793 0.2500 0.8563
Te 0.2500 0.7500 0.5231
Te 0.4200 0.7500 0.1568



Record 2
DFT (PBE-GGA) results for an optimized crystal structure of LiScCuTe3.

Summary:
The calculation puts the theoretical density at 5.500 g/cm3. The relative energy among the computed polymorphs comes out at 9 meV/atom. The total magnetic moment comes out at 0.01 μB per formula unit.

a b c (Å): 3.9104 14.5614 10.5663
angles (deg): 90.00 90.00 90.00
Space group Cmcm (No. 63)
One atom of each set of equivalent atoms:
Li 0.0000 0.2229 0.2500
Sc 0.0000 0.0000 0.0000
Cu 0.0000 0.4802 0.7500
Te 0.0000 0.0978 0.7500
Te 0.0000 0.3609 0.5673



Record 3
DFT (PBE-GGA) results for an optimized crystal structure of LiScTlCu.

Summary:
The calculation puts the theoretical density at 7.840 g/cm3. The relative energy among the computed polymorphs comes out at 0 meV/atom. The total magnetic moment comes out at 0.00 μB per formula unit.

a b c (Å): 6.4710 6.4710 6.4710
angles (deg): 90.00 90.00 90.00
Space group F-43m (No. 216)
One atom of each set of equivalent atoms:
Li 0.0000 0.0000 0.0000
Sc 0.2500 0.2500 0.7500
Tl 0.2500 0.2500 0.2500
Cu 0.0000 0.0000 0.5000